Entry 1:
A relaxed structure of Er3Zn3Ni2. Source: Alexandria via LeMat-Bulk, functional PBE. Values from VASP.

Quantum ESPRESSO input file:
```
&SYSTEM
  ibrav = 0, nat = 32, ntyp = 3
/
ATOMIC_SPECIES
Er 167.26 Er.upf
Zn 65.41 Zn.upf
Ni 58.69 Ni.upf
CELL_PARAMETERS angstrom
7.2941 0.0000 0.0000
0.0000 15.6208 0.0000
0.0000 0.0000 5.3346
ATOMIC_POSITIONS angstrom
Er 0.2713 1.6782 0.6303
Er 0.2713 6.1322 0.6303
Er 1.2144 3.9052 3.4144
Er 2.4327 11.7156 0.7471
Er 3.3758 9.4886 3.2976
Er 3.3758 13.9427 3.2976
Er 3.9184 1.6782 2.0370
Er 3.9184 6.1322 2.0370
Er 4.8615 3.9052 4.5875
Er 6.0797 11.7156 1.9202
Er 7.0229 9.4886 4.7043
Er 7.0229 13.9427 4.7043
Zn 1.2759 0.5076 3.2141
Zn 1.2759 7.3028 3.2141
Zn 1.2737 11.7156 3.3816
Zn 2.3734 3.9052 0.7143
Zn 2.3711 8.3180 0.5468
Zn 2.3711 15.1132 0.5468
Zn 4.9230 0.5076 4.7878
Zn 4.9230 7.3028 4.7878
Zn 4.9208 11.7156 4.6203
Zn 6.0204 3.9052 1.9530
Zn 6.0182 8.3180 2.1205
Zn 6.0182 15.1132 2.1205
Ni 0.8570 9.6115 2.0212
Ni 0.8570 13.8198 2.0212
Ni 2.7900 1.8011 4.6884
Ni 2.7900 6.0093 4.6884
Ni 4.5041 9.6115 0.6461
Ni 4.5041 13.8198 0.6461
Ni 6.4371 1.8011 3.3134
Ni 6.4371 6.0093 3.3134
```

* symmetry: Pnma (62)

Entry 2:
A relaxed structure of ErZn4Ni. Source: Alexandria via LeMat-Bulk, functional PBE. Values from VASP.

Quantum ESPRESSO input file:
```
&SYSTEM
  ibrav = 0, nat = 12, ntyp = 3
/
ATOMIC_SPECIES
Er 167.26 Er.upf
Zn 65.41 Zn.upf
Ni 58.69 Ni.upf
CELL_PARAMETERS angstrom
7.6001 0.0000 0.0000
0.0000 3.8898 0.0000
0.0000 0.0000 6.7118
ATOMIC_POSITIONS angstrom
Er 1.9000 0.0000 0.7244
Er 5.7001 0.0000 5.9874
Zn 0.0000 0.0000 3.3559
Zn 0.4272 1.9449 5.4147
Zn 1.9000 1.9449 3.0370
Zn 3.3729 1.9449 5.4147
Zn 3.8000 0.0000 3.3559
Zn 4.2272 1.9449 1.2971
Zn 5.7001 1.9449 3.6748
Zn 7.1729 1.9449 1.2971
Ni 1.9000 0.0000 4.7704
Ni 5.7001 0.0000 1.9415
```

* E above lowest polymorph: 0.0 kJ/mol of atoms
* symmetry: Pmma (51)

Entry 3:
A relaxed structure of Er2Zn3Ni4. Source: Alexandria via LeMat-Bulk, functional PBE. Values from VASP.

Quantum ESPRESSO input file:
```
&SYSTEM
  ibrav = 0, nat = 18, ntyp = 3
/
ATOMIC_SPECIES
Er 167.26 Er.upf
Zn 65.41 Zn.upf
Ni 58.69 Ni.upf
CELL_PARAMETERS angstrom
2.6311 -7.5094 0.0000
2.6311 7.5094 0.0000
0.0000 0.0000 7.0360
ATOMIC_POSITIONS angstrom
Er 2.6311 5.8976 6.4373
Er 2.6311 1.6118 2.9193
Er 2.6311 -1.6118 4.1167
Er 2.6311 -5.8976 0.5987
Zn 0.0000 0.0000 3.5180
Zn 1.3155 3.5036 5.2770
Zn 1.3155 -3.5036 1.7590
Zn 2.6311 0.0000 0.0000
Zn 3.9466 3.5036 5.2770
Zn 3.9466 -3.5036 1.7590
Ni 2.6311 4.9815 3.6208
Ni 1.3155 1.0411 5.2770
Ni 1.3155 -1.0411 1.7590
Ni 2.6311 2.5279 0.1028
Ni 2.6311 -2.5279 6.9333
Ni 3.9466 1.0411 5.2770
Ni 3.9466 -1.0411 1.7590
Ni 2.6311 -4.9815 3.4152
```

* symmetry: Cmce (64)

Entry 4:
A relaxed structure of ErZn12Ni7. Source: Alexandria via LeMat-Bulk, functional PBE. Values from VASP.

Quantum ESPRESSO input file:
```
&SYSTEM
  ibrav = 0, nat = 20, ntyp = 3
/
ATOMIC_SPECIES
Er 167.26 Er.upf
Zn 65.41 Zn.upf
Ni 58.69 Ni.upf
CELL_PARAMETERS angstrom
-4.3662 4.3662 4.3662
4.3662 -4.3662 4.3662
4.3662 4.3662 -4.3662
ATOMIC_POSITIONS angstrom
Er 0.0000 0.0000 0.0000
Zn 4.3662 2.2834 -1.3525
Zn 3.0137 0.0000 2.0828
Zn 5.7188 0.0000 2.0828
Zn 2.0828 3.0137 0.0000
Zn 2.2834 -1.3525 4.3662
Zn 4.3662 2.2834 1.3525
Zn 0.0000 2.0828 3.0137
Zn 2.0828 5.7188 0.0000
Zn 2.2834 1.3525 4.3662
Zn -1.3525 4.3662 2.2834
Zn 1.3525 4.3662 2.2834
Zn 0.0000 2.0828 5.7188
Ni 2.1831 2.1831 -2.1831
Ni 2.1831 -2.1831 2.1831
Ni 4.3662 0.0000 0.0000
Ni -2.1831 2.1831 2.1831
Ni 0.0000 4.3662 0.0000
Ni 0.0000 0.0000 4.3662
Ni 2.1831 2.1831 2.1831
```

* symmetry: Im-3 (204)

Entry 5:
A relaxed structure of ErZn3Ni3. Source: Alexandria via LeMat-Bulk, functional PBE. Values from VASP.

Quantum ESPRESSO input file:
```
&SYSTEM
  ibrav = 0, nat = 14, ntyp = 3
/
ATOMIC_SPECIES
Er 167.26 Er.upf
Zn 65.41 Zn.upf
Ni 58.69 Ni.upf
CELL_PARAMETERS angstrom
6.3916 0.0000 0.0000
0.0000 6.3916 0.0000
0.0000 0.0000 6.3916
ATOMIC_POSITIONS angstrom
Er 0.0000 0.0000 0.0000
Er 3.1958 3.1958 3.1958
Zn 0.0000 1.5979 3.1958
Zn 0.0000 4.7937 3.1958
Zn 1.5979 3.1958 0.0000
Zn 3.1958 0.0000 1.5979
Zn 3.1958 0.0000 4.7937
Zn 4.7937 3.1958 0.0000
Ni 0.0000 3.1958 1.5979
Ni 0.0000 3.1958 4.7937
Ni 1.5979 0.0000 3.1958
Ni 3.1958 1.5979 0.0000
Ni 3.1958 4.7937 0.0000
Ni 4.7937 0.0000 3.1958
```

* symmetry: Pm-3n (223)

Entry 6:
A relaxed structure of ErZn2Ni9. Source: Alexandria via LeMat-Bulk, functional PBE. Values from VASP.

Quantum ESPRESSO input file:
```
&SYSTEM
  ibrav = 0, nat = 12, ntyp = 3
/
ATOMIC_SPECIES
Er 167.26 Er.upf
Zn 65.41 Zn.upf
Ni 58.69 Ni.upf
CELL_PARAMETERS angstrom
2.3988 1.3850 7.7489
-2.3988 1.3850 7.7489
0.0000 -2.7699 7.7489
ATOMIC_POSITIONS angstrom
Er 0.0000 0.0000 0.0000
Zn 0.0000 0.0000 3.3593
Zn 0.0000 0.0000 19.8876
Ni -1.2161 -0.7021 9.7439
Ni 0.0000 0.0000 7.7678
Ni 0.0000 -1.4042 13.5029
Ni -1.2161 0.7021 13.5029
Ni 0.0000 0.0000 11.6234
Ni 1.2161 -0.7021 9.7439
Ni 0.0000 1.4042 9.7439
Ni 0.0000 0.0000 15.4790
Ni 1.2161 0.7021 13.5029
```

* E above lowest polymorph: 4.3 kJ/mol of atoms
* symmetry: R-3m (166)

Results for energy relative to the elements: -0.4165 -0.3105 -0.3962 0.1724 0.2875 -0.1843 (in eV/atom, following the order of the records).
Results for total magnetic moment: 0.0000 0.0000 0.0000 0.0000 0.0000 0.2551 (in μB per atom, following the order of the records).
Results for E: -4.05 -2.88 -4.40 -2.84 -3.39 -5.11 (in eV/atom, following the order of the records).